No. 1
Below is crystalline RbYSeI2 at its relaxed geometry, with properties calculated at the PBE-GGA level.

Values from the calculation:
ΔE to the lowest computed polymorph ... 0 meV/atom
Formation energy (no corrections) ... -1.428 eV per atom
SG ... P4/mmm, No. 123
Total moment ... 0.00 μB per atom
Calculated volume ... 41.70 Å³/atom
Uncorrected energy ... -4.231 eV/atom

```
RbYSeI2
1.0
-3.757 -1.840 -4.570
-3.403 -3.187 4.080
-3.124 4.370 0.808
I Y Rb Se
2 1 1 1
direct
0.500 0.000 0.000
0.000 0.500 0.000
0.000 0.000 0.000
0.500 0.500 0.500
0.000 0.000 0.500
```



No. 2
Below is crystalline Er5CuS8 at its relaxed geometry, with properties calculated at the PBE-GGA level.

Values from the calculation:
Formation energy (no corrections) ... -1.821 eV per atom
SG ... F-43m, No. 216
Total moment ... 0.00 μB per atom
Calculated volume ... 24.47 Å³/atom
Uncorrected energy ... -6.101 eV/atom

```
Er5CuS8
1.0
6.802 0.000 3.927
2.267 6.413 3.927
0.000 0.000 7.854
S Er Cu
8 5 1
direct
0.402 0.866 0.866
0.377 0.869 0.377
0.866 0.866 0.866
0.866 0.402 0.866
0.377 0.377 0.377
0.377 0.377 0.869
0.866 0.866 0.402
0.869 0.377 0.377
0.140 0.620 0.620
0.620 0.140 0.620
0.000 0.000 0.000
0.620 0.620 0.620
0.620 0.620 0.140
0.250 0.250 0.250
```



No. 3
Below is crystalline Rb2LiTe4As at its relaxed geometry, with properties calculated at the PBE-GGA level.

Values from the calculation:
Formation energy (no corrections) ... -0.532 eV per atom
SG ... Fddd, No. 70
Total moment ... 0.00 μB per atom
Calculated volume ... 42.15 Å³/atom
Uncorrected energy ... -3.165 eV/atom

```
Rb2LiTe4As
1.0
6.693 0.000 0.000
3.346 7.370 0.000
3.346 0.000 13.673
Rb Li Te As
4 2 8 2
direct
0.937 0.500 0.127
0.813 0.000 0.373
0.563 0.500 0.873
0.187 0.000 0.627
0.750 0.500 0.500
0.000 0.000 0.000
0.519 0.292 0.608
0.419 0.708 0.392
0.873 0.708 0.608
0.877 0.792 0.892
0.189 0.292 0.392
0.231 0.208 0.892
0.561 0.208 0.108
0.331 0.792 0.108
0.250 0.500 0.500
0.500 0.000 0.000
```



No. 4
Below is crystalline ScVCuTc at its relaxed geometry, with properties calculated at the PBE-GGA level.

Values from the calculation:
SG ... F-43m, No. 216
Total moment ... 0.33 μB per atom
Energy relative to the elements ... -0.090 eV per atom
Calculated volume ... 15.18 Å³/atom
Uncorrected energy ... -7.568 eV/atom

```
ScVCuTc
1.0
4.412 0.000 0.000
2.206 3.821 0.000
2.206 1.274 3.602
Sc Tc Cu V
1 1 1 1
direct
0.250 0.250 0.250
0.000 0.000 0.000
0.500 0.500 0.500
0.750 0.750 0.750
```



No. 5
Below is crystalline Sm5Tm4Tl at its relaxed geometry, with properties calculated at the PBE-GGA level.

Values from the calculation:
ΔE to the lowest computed polymorph ... 274 meV/atom
SG ... I4, No. 79
Total moment ... 0.00 μB per atom
Energy relative to the elements ... 0.230 eV per atom
Calculated volume ... 33.25 Å³/atom
Uncorrected energy ... -4.154 eV/atom

```
Sm5Tm4Tl
1.0
6.207 0.000 0.000
3.103 7.319 0.000
3.103 0.000 7.319
Sm Tm Tl
5 4 1
direct
0.111 0.619 0.088
0.730 0.088 0.381
0.818 0.381 0.912
0.639 0.000 0.000
0.200 0.912 0.619
0.509 0.598 0.305
0.107 0.305 0.402
0.814 0.695 0.598
0.412 0.402 0.695
0.171 0.000 0.000
```



No. 6
Below is crystalline NdHoNi at its relaxed geometry, with properties calculated at the PBE-GGA level.

Values from the calculation:
ΔE to the lowest computed polymorph ... 147 meV/atom
SG ... F-43m, No. 216
Total moment ... 0.00 μB per atom
Energy relative to the elements ... -0.106 eV per atom
Calculated volume ... 26.27 Å³/atom
Uncorrected energy ... -5.149 eV/atom

```
NdHoNi
1.0
-3.182 -1.458 -3.303
-0.878 -4.695 -0.588
-4.223 -1.849 1.379
Ho Ni Nd
1 1 1
direct
0.500 0.500 0.500
0.250 0.250 0.250
0.000 0.000 0.000
```